1.
SrTeCl3: relaxed, PBE. Values from VASP.

Structure (Quantum ESPRESSO input):
```
&SYSTEM
  ibrav = 0, nat = 5, ntyp = 3
/
ATOMIC_SPECIES
Sr 87.62 Sr.upf
Te 127.60 Te.upf
Cl 35.45 Cl.upf
ATOMIC_POSITIONS crystal
Sr 0.500 0.500 0.500
Te 0.000 0.000 0.000
Cl 0.000 0.500 0.000
Cl 0.000 0.000 0.500
Cl 0.500 0.000 0.000
CELL_PARAMETERS angstrom
5.629 0.000 0.000
0.000 5.629 0.000
0.000 0.000 5.629
```

## Properties
The energy relative to the lowest polymorph listed for this composition is 388.7 meV/atom. For the energy, the calculation gives -2.800 eV per atom. The formation energy from raw total energies comes out at -728 meV/atom.

***

2.
SrTeCl: relaxed, PBE. Values from VASP.

Structure (Quantum ESPRESSO input):
```
&SYSTEM
  ibrav = 0, nat = 3, ntyp = 3
/
ATOMIC_SPECIES
Cl 35.45 Cl.upf
Sr 87.62 Sr.upf
Te 127.60 Te.upf
ATOMIC_POSITIONS crystal
Cl 0.000 0.000 0.167
Sr 0.667 0.333 0.167
Te 0.333 0.667 0.667
CELL_PARAMETERS angstrom
-1.828 0.468 -4.561
4.114 -2.621 0.753
-2.679 -4.015 0.661
```

## Properties
For the energy, the calculation gives -3.563 eV per atom. The formation energy from raw total energies comes out at -1340 meV/atom.

***

3.
SrTeCl: relaxed, PBE. Values from VASP.

Structure (Quantum ESPRESSO input):
```
&SYSTEM
  ibrav = 0, nat = 3, ntyp = 3
/
ATOMIC_SPECIES
Cl 35.45 Cl.upf
Sr 87.62 Sr.upf
Te 127.60 Te.upf
ATOMIC_POSITIONS crystal
Cl 0.500 0.500 0.500
Sr 0.750 0.750 0.750
Te 0.000 0.000 0.000
CELL_PARAMETERS angstrom
-3.983 2.471 2.649
-3.506 -2.886 2.892
0.094 0.252 5.377
```

## Properties
For the energy, the calculation gives -3.500 eV per atom. The formation energy from raw total energies comes out at -1276 meV/atom.

***

4.
SrTeCl2: relaxed, PBE. Values from VASP.

Structure (Quantum ESPRESSO input):
```
&SYSTEM
  ibrav = 0, nat = 4, ntyp = 3
/
ATOMIC_SPECIES
Sr 87.62 Sr.upf
Te 127.60 Te.upf
Cl 35.45 Cl.upf
ATOMIC_POSITIONS crystal
Sr 0.500 0.000 0.500
Te 0.000 0.500 0.500
Cl 0.000 0.000 0.000
Cl 0.500 0.500 0.000
CELL_PARAMETERS angstrom
-3.017 5.213 -0.005
-4.050 -4.394 0.751
-3.125 0.642 3.883
```

## Properties
The energy relative to the lowest polymorph listed for this composition is 135.7 meV/atom. For the energy, the calculation gives -3.443 eV per atom. The formation energy from raw total energies comes out at -1313 meV/atom.

***

5.
SrTeCl2: relaxed, PBE. Values from VASP.

Structure (Quantum ESPRESSO input):
```
&SYSTEM
  ibrav = 0, nat = 4, ntyp = 3
/
ATOMIC_SPECIES
Sr 87.62 Sr.upf
Te 127.60 Te.upf
Cl 35.45 Cl.upf
ATOMIC_POSITIONS crystal
Sr 0.500 0.000 0.500
Te 0.000 0.500 0.500
Cl 0.000 0.000 0.000
Cl 0.500 0.500 0.000
CELL_PARAMETERS angstrom
4.007 0.000 0.000
0.000 5.997 0.000
0.000 0.000 4.582
```

## Properties
The energy relative to the lowest polymorph listed for this composition is 178.9 meV/atom. For the energy, the calculation gives -3.400 eV per atom. The formation energy from raw total energies comes out at -1270 meV/atom.

***

6.
SrTeCl2: relaxed, PBE. Values from VASP.

Structure (Quantum ESPRESSO input):
```
&SYSTEM
  ibrav = 0, nat = 4, ntyp = 3
/
ATOMIC_SPECIES
Sr 87.62 Sr.upf
Te 127.60 Te.upf
Cl 35.45 Cl.upf
ATOMIC_POSITIONS crystal
Sr 0.583 0.583 0.583
Te 0.751 0.751 0.751
Cl 0.963 0.963 0.963
Cl 0.204 0.204 0.204
CELL_PARAMETERS angstrom
12.053 0.125 0.073
11.337 4.095 0.073
11.337 2.045 3.548
```

## Properties
The energy relative to the lowest polymorph listed for this composition is 79.8 meV/atom. For the energy, the calculation gives -3.499 eV per atom. The formation energy from raw total energies comes out at -1369 meV/atom.

***

What did the sixth record say?
SrTeCl2: relaxed, PBE. Values from VASP.

Structure (Quantum ESPRESSO input):
```
&SYSTEM
  ibrav = 0, nat = 4, ntyp = 3
/
ATOMIC_SPECIES
Sr 87.62 Sr.upf
Te 127.60 Te.upf
Cl 35.45 Cl.upf
ATOMIC_POSITIONS crystal
Sr 0.583 0.583 0.583
Te 0.751 0.751 0.751
Cl 0.963 0.963 0.963
Cl 0.204 0.204 0.204
CELL_PARAMETERS angstrom
12.053 0.125 0.073
11.337 4.095 0.073
11.337 2.045 3.548
```

## Properties
The energy relative to the lowest polymorph listed for this composition is 79.8 meV/atom. For the energy, the calculation gives -3.499 eV per atom. The formation energy from raw total energies comes out at -1369 meV/atom.

***

What did the fifth record say?
SrTeCl2: relaxed, PBE. Values from VASP.

Structure (Quantum ESPRESSO input):
```
&SYSTEM
  ibrav = 0, nat = 4, ntyp = 3
/
ATOMIC_SPECIES
Sr 87.62 Sr.upf
Te 127.60 Te.upf
Cl 35.45 Cl.upf
ATOMIC_POSITIONS crystal
Sr 0.500 0.000 0.500
Te 0.000 0.500 0.500
Cl 0.000 0.000 0.000
Cl 0.500 0.500 0.000
CELL_PARAMETERS angstrom
4.007 0.000 0.000
0.000 5.997 0.000
0.000 0.000 4.582
```

## Properties
The energy relative to the lowest polymorph listed for this composition is 178.9 meV/atom. For the energy, the calculation gives -3.400 eV per atom. The formation energy from raw total energies comes out at -1270 meV/atom.

***

Question: The lowest energy belongs to which entry?
Answer: number 2